# NpTeCl

NpTeCl after structural relaxation (PBE, Alexandria via LeMat-Bulk).

energy = -42.2 eV per cell
energy relative to the elements, uncorrected = -1.0497 eV/atom

Unit cell a=3.898 b=7.422 c=7.937 alpha=70.69 beta=75.82 gamma=74.77
Each line ends with the local moment (μB).
Positions (direct):
Np: 0.904 0.235 0.456  4.00
Np: 0.096 0.765 0.544  4.00
Te: 0.616 0.016 0.251  -0.14
Te: 0.384 0.984 0.749  -0.14
Cl: 0.337 0.525 0.301  -0.04
Cl: 0.663 0.475 0.699  -0.04

# YTm3Cd6

YTm3Cd6 after structural relaxation (PBE, Alexandria via LeMat-Bulk).

ΔH_f (0 K) = -282 meV/atom
energy = -56.4 eV per cell

Unit cell a=5.123 b=9.104 c=10.962 alpha=105.60 beta=90.00 gamma=90.00
Positions (direct):
Y: 0.250 0.944 0.608
Y: 0.750 0.056 0.392
Tm: 0.250 0.531 0.395
Tm: 0.750 0.469 0.605
Tm: 0.250 0.352 0.797
Tm: 0.750 0.648 0.203
Tm: 0.250 0.758 0.002
Tm: 0.750 0.242 0.998
Cd: 0.250 0.450 0.097
Cd: 0.750 0.550 0.903
Cd: 0.250 0.143 0.197
Cd: 0.750 0.857 0.803
Cd: 0.250 0.654 0.707
Cd: 0.750 0.346 0.293
Cd: 0.250 0.245 0.502
Cd: 0.750 0.755 0.498
Cd: 0.250 0.844 0.306
Cd: 0.750 0.156 0.694
Cd: 0.250 0.053 0.903
Cd: 0.750 0.947 0.097

# Pu3Ag5Cl12

Pu3Ag5Cl12 after structural relaxation (PBE, Alexandria via LeMat-Bulk).

energy = -406.7 eV per cell
energy relative to the elements, uncorrected = -1.1126 eV/atom

Unit cell a=14.046 b=14.046 c=14.046 alpha=109.47 beta=109.47 gamma=109.47
Each line ends with the local moment (μB).
Positions (direct):
Pu: 0.750 0.375 0.125  5.60
Pu: 0.875 0.750 0.125  5.60
Pu: 0.375 0.750 0.625  5.60
Pu: 0.250 0.125 0.375  5.60
Pu: 0.875 0.125 0.250  5.60
Pu: 0.375 0.625 0.250  5.60
Pu: 0.625 0.375 0.750  5.60
Pu: 0.125 0.875 0.750  5.60
Pu: 0.750 0.875 0.625  5.60
Pu: 0.625 0.250 0.375  5.60
Pu: 0.125 0.250 0.875  5.60
Pu: 0.250 0.625 0.875  5.60
Ag: 0.125 0.375 0.250  0.00
Ag: 0.000 0.500 0.000  0.00
Ag: 0.000 0.000 0.000  0.00
Ag: 0.375 0.250 0.125  0.00
Ag: 0.500 0.000 0.500  0.00
Ag: 0.500 0.500 0.000  0.00
Ag: 0.125 0.750 0.375  0.00
Ag: 0.750 0.125 0.875  0.00
Ag: 0.750 0.625 0.375  0.00
Ag: 0.375 0.125 0.750  0.00
Ag: 0.625 0.875 0.250  0.00
Ag: 0.500 0.500 0.500  0.00
Ag: 0.500 0.000 0.000  0.00
Ag: 0.000 0.000 0.500  0.00
Ag: 0.250 0.375 0.625  0.00
Ag: 0.250 0.875 0.125  0.00
Ag: 0.000 0.500 0.500  0.00
Ag: 0.875 0.250 0.625  0.00
Ag: 0.625 0.750 0.875  0.00
Ag: 0.875 0.625 0.750  0.00
Cl: 0.723 0.132 0.048  -0.02
Cl: 0.325 0.548 0.416  -0.02
Cl: 0.952 0.368 0.277  -0.02
Cl: 0.548 0.223 0.132  -0.02
Cl: 0.591 0.723 0.675  -0.02
Cl: 0.952 0.584 0.175  -0.02
Cl: 0.325 0.777 0.409  -0.02
Cl: 0.084 0.909 0.132  -0.02
Cl: 0.584 0.952 0.675  -0.02
Cl: 0.723 0.591 0.175  -0.02
Cl: 0.777 0.452 0.368  -0.02
Cl: 0.825 0.916 0.048  -0.02
Cl: 0.132 0.723 0.548  -0.02
Cl: 0.368 0.416 0.091  -0.02
Cl: 0.091 0.916 0.368  -0.02
Cl: 0.409 0.132 0.584  -0.02
Cl: 0.091 0.175 0.223  -0.02
Cl: 0.452 0.675 0.084  -0.02
Cl: 0.825 0.909 0.277  -0.02
Cl: 0.132 0.409 0.084  -0.02
Cl: 0.368 0.952 0.777  -0.02
Cl: 0.584 0.632 0.409  -0.02
Cl: 0.916 0.825 0.548  -0.02
Cl: 0.777 0.325 0.909  -0.02
Cl: 0.416 0.368 0.591  -0.02
Cl: 0.084 0.175 0.452  -0.02
Cl: 0.223 0.675 0.091  -0.02
Cl: 0.175 0.091 0.723  -0.02
Cl: 0.632 0.048 0.223  -0.02
Cl: 0.868 0.591 0.916  -0.02
Cl: 0.548 0.325 0.916  -0.02
Cl: 0.591 0.868 0.416  -0.02
Cl: 0.909 0.825 0.777  -0.02
Cl: 0.909 0.084 0.632  -0.02
Cl: 0.868 0.277 0.452  -0.02
Cl: 0.175 0.084 0.952  -0.02
Cl: 0.632 0.584 0.909  -0.02
Cl: 0.416 0.048 0.325  -0.02
Cl: 0.277 0.409 0.825  -0.02
Cl: 0.223 0.548 0.632  -0.02
Cl: 0.916 0.091 0.868  -0.02
Cl: 0.675 0.223 0.591  -0.02
Cl: 0.452 0.777 0.868  -0.02
Cl: 0.048 0.416 0.825  -0.02
Cl: 0.409 0.277 0.325  -0.02
Cl: 0.048 0.632 0.723  -0.02
Cl: 0.675 0.452 0.584  -0.02
Cl: 0.277 0.868 0.952  -0.02

# SmY3Rh

SmY3Rh after structural relaxation (PBE, Alexandria via LeMat-Bulk).

ΔH_f (0 K) = -289 meV/atom
energy = -65.8 eV per cell

Unit cell a=6.207 b=6.544 c=7.631 alpha=90.01 beta=90.00 gamma=90.00
Positions (direct):
Sm: 0.432 0.326 0.701
Sm: 0.932 0.027 0.201
Y: 0.418 0.330 0.201
Y: 0.426 0.860 0.952
Y: 0.926 0.492 0.452
Y: 0.918 0.022 0.701
Y: 0.926 0.492 0.950
Y: 0.426 0.860 0.450
Rh: 0.176 0.679 0.701
Rh: 0.676 0.674 0.201

# CsRbPt

CsRbPt after structural relaxation (PBE, Alexandria via LeMat-Bulk).

ΔH_f (0 K) = -61 meV/atom
energy = -16.1 eV per cell

Unit cell a=4.894 b=6.512 c=10.514 alpha=102.01 beta=103.46 gamma=90.00
Positions (direct):
Cs: 0.598 0.313 0.197
Cs: 0.402 0.687 0.803
Rb: 0.822 0.141 0.643
Rb: 0.178 0.859 0.357
Pt: 0.243 0.442 0.487
Pt: 0.757 0.558 0.513

# GdTcC

GdTcC after structural relaxation (PBE, Alexandria via LeMat-Bulk).

ΔH_f (0 K) = -3 meV/atom
energy = -33.7 eV per cell

Unit cell a=4.515 b=3.537 c=3.537 alpha=120.00 beta=90.00 gamma=90.00
Each line ends with the local moment (μB).
Positions (direct):
C: 0.166 0.000 0.000  -0.01
Gd: 0.667 0.667 0.333  7.04
Tc: 0.167 0.333 0.667  0.00

# CsRb2Ca

CsRb2Ca after structural relaxation (PBE, Alexandria via LeMat-Bulk).

ΔH_f (0 K) = 191 meV/atom
energy = -4.0 eV per cell

Unit cell a=5.035 b=7.794 c=7.794 alpha=90.00 beta=90.00 gamma=90.00
Positions (direct):
Cs: 0.500 0.500 0.500
Ca: 0.500 0.000 0.000
Rb: 0.000 0.000 0.500
Rb: 0.000 0.500 0.000

# HoTmLu2

HoTmLu2 after structural relaxation (PBE, Alexandria via LeMat-Bulk).

ΔH_f (0 K) = 31 meV/atom
energy = -18.0 eV per cell

Unit cell a=3.476 b=3.476 c=9.831 alpha=90.00 beta=90.00 gamma=90.00
Positions (direct):
Lu: 0.000 0.000 0.751
Lu: 0.000 0.000 0.249
Tm: 0.500 0.500 0.000
Ho: 0.500 0.500 0.500

# K2Li3PaF12

K2Li3PaF12 after structural relaxation (PBE, Alexandria via LeMat-Bulk).

energy = -90.3 eV per cell
energy relative to the elements, uncorrected = -2.7981 eV/atom

Unit cell a=6.764 b=6.764 c=6.764 alpha=65.15 beta=65.15 gamma=65.15
Each line ends with the local moment (μB).
Positions (direct):
K: 0.601 0.601 0.601  0.00
K: 0.399 0.399 0.399  0.00
Li: 0.500 0.000 0.000  0.00
Li: 0.000 0.500 0.000  0.00
Li: 0.000 0.000 0.500  0.00
Pa: 0.000 0.000 0.000  -0.07
F: 0.244 0.244 0.889  0.15
F: 0.858 0.858 0.389  0.18
F: 0.389 0.858 0.858  0.18
F: 0.889 0.244 0.244  0.15
F: 0.858 0.389 0.858  0.18
F: 0.244 0.889 0.244  0.15
F: 0.756 0.756 0.111  0.15
F: 0.142 0.142 0.611  0.18
F: 0.611 0.142 0.142  0.18
F: 0.111 0.756 0.756  0.15
F: 0.142 0.611 0.142  0.18
F: 0.756 0.111 0.756  0.15

# PuTaOs2

PuTaOs2 after structural relaxation (PBE, Alexandria via LeMat-Bulk).

ΔH_f (0 K) = -148 meV/atom
energy = -49.2 eV per cell

Unit cell a=3.141 b=3.141 c=7.251 alpha=90.00 beta=90.00 gamma=90.00
Each line ends with the local moment (μB).
Positions (direct):
Ta: 0.500 0.500 0.000  0.10
Os: 0.000 0.000 0.785  -0.25
Os: 0.000 0.000 0.215  -0.25
Pu: 0.500 0.500 0.500  4.89

# TlV2Te2

TlV2Te2 after structural relaxation (PBE, Alexandria via LeMat-Bulk).

energy = -52.1 eV per cell
energy relative to the elements, uncorrected = 0.1710 eV/atom

Unit cell a=7.784 b=7.784 c=3.509 alpha=90.00 beta=90.00 gamma=90.00
Each line ends with the local moment (μB).
Positions (direct):
Tl: 0.000 0.000 0.000  0.02
Tl: 0.500 0.500 0.000  0.02
Te: 0.151 0.651 0.500  -0.07
Te: 0.651 0.849 0.500  -0.07
Te: 0.849 0.349 0.500  -0.07
Te: 0.349 0.151 0.500  -0.07
V: 0.365 0.865 0.000  1.41
V: 0.865 0.635 0.000  1.41
V: 0.635 0.135 0.000  1.41
V: 0.135 0.365 0.000  1.41

# LaYTh2

LaYTh2 after structural relaxation (PBE, Alexandria via LeMat-Bulk).

ΔH_f (0 K) = 27 meV/atom
energy = -52.2 eV per cell

Unit cell a=5.068 b=5.113 c=11.480 alpha=90.00 beta=116.17 gamma=90.00
Positions (direct):
La: 0.363 0.250 0.363
La: 0.637 0.750 0.637
Y: 0.864 0.750 0.364
Y: 0.136 0.250 0.636
Th: 0.617 0.250 0.116
Th: 0.383 0.750 0.884
Th: 0.120 0.750 0.120
Th: 0.880 0.250 0.880

# Rb2LiRe2

Rb2LiRe2 after structural relaxation (PBE, Alexandria via LeMat-Bulk).

ΔH_f (0 K) = 1395 meV/atom
energy = -43.5 eV per cell

Unit cell a=10.688 b=10.688 c=2.851 alpha=90.00 beta=90.00 gamma=90.00
Positions (direct):
Re: 0.427 0.927 0.000
Re: 0.927 0.573 0.000
Re: 0.573 0.073 0.000
Re: 0.073 0.427 0.000
Rb: 0.209 0.709 0.500
Rb: 0.709 0.791 0.500
Rb: 0.791 0.291 0.500
Rb: 0.291 0.209 0.500
Li: 0.000 0.000 0.000
Li: 0.500 0.500 0.000

# RbTl2BRu

RbTl2BRu after structural relaxation (PBE, Alexandria via LeMat-Bulk).

ΔH_f (0 K) = 377 meV/atom
energy = -19.8 eV per cell

Unit cell a=5.392 b=4.289 c=5.392 alpha=90.00 beta=90.00 gamma=90.00
Positions (direct):
Ru: 0.000 0.000 0.000
Tl: 0.000 0.000 0.500
Tl: 0.500 0.000 0.000
B: 0.000 0.500 0.000
Rb: 0.500 0.500 0.500

# SrNpPbO6

SrNpPbO6 after structural relaxation (PBE, Alexandria via LeMat-Bulk).

energy = -135.2 eV per cell
energy relative to the elements, uncorrected = -2.1691 eV/atom

Unit cell a=5.840 b=5.840 c=10.457 alpha=90.00 beta=90.00 gamma=120.00
Positions (direct):
Sr: 0.000 0.000 0.000
Sr: 0.000 0.000 0.500
Np: 0.667 0.333 0.250
Np: 0.333 0.667 0.750
Pb: 0.333 0.667 0.250
Pb: 0.667 0.333 0.750
O: 0.658 0.619 0.140
O: 0.961 0.342 0.140
O: 0.342 0.961 0.640
O: 0.039 0.658 0.860
O: 0.381 0.342 0.360
O: 0.961 0.619 0.360
O: 0.619 0.961 0.860
O: 0.658 0.039 0.360
O: 0.039 0.381 0.640
O: 0.381 0.039 0.140
O: 0.619 0.658 0.640
O: 0.342 0.381 0.860

# SrPt2Br

SrPt2Br after structural relaxation (PBE, Alexandria via LeMat-Bulk).

energy = -14.4 eV per cell
energy relative to the elements, uncorrected = 0.2708 eV/atom

Unit cell a=9.126 b=9.126 c=9.126 alpha=21.55 beta=21.55 gamma=21.55
Positions (direct):
Sr: 0.250 0.250 0.250
Br: 0.750 0.750 0.750
Pt: 0.005 0.005 0.005
Pt: 0.495 0.495 0.495

# IrOs2Au

IrOs2Au after structural relaxation (PBE, Alexandria via LeMat-Bulk).

ΔH_f (0 K) = 755 meV/atom
energy = -31.6 eV per cell

Unit cell a=2.742 b=4.714 c=4.806 alpha=90.00 beta=90.00 gamma=90.00
Each line ends with the local moment (μB).
Positions (direct):
Au: 0.500 0.000 0.500  0.00
Ir: 0.000 0.500 0.500  0.02
Os: 0.000 0.000 0.000  0.09
Os: 0.500 0.500 0.000  0.06

# Re2Ni3

Re2Ni3 after structural relaxation (PBE, Alexandria via LeMat-Bulk).

ΔH_f (0 K) = 130 meV/atom
energy = -83.2 eV per cell

Unit cell a=7.672 b=6.722 c=4.915 alpha=80.87 beta=59.89 gamma=39.23
Positions (direct):
Re: 0.906 0.191 0.544
Re: 0.358 0.544 0.191
Re: 0.059 0.344 0.892
Re: 0.706 0.892 0.344
Ni: 0.468 0.730 0.467
Ni: 0.334 0.467 0.730
Ni: 0.520 0.782 0.916
Ni: 0.783 0.916 0.782
Ni: 0.933 0.067 0.067
Ni: 0.183 0.317 0.317

# TlPbAu

TlPbAu after structural relaxation (PBE, Alexandria via LeMat-Bulk).

ΔH_f (0 K) = -54 meV/atom
energy = -19.0 eV per cell

Unit cell a=5.880 b=6.148 c=5.879 alpha=77.17 beta=58.03 gamma=102.84
Positions (direct):
Pb: 0.740 0.079 0.434
Pb: 0.055 0.705 0.119
Tl: 0.554 0.392 0.933
Tl: 0.241 0.392 0.620
Au: 0.648 0.892 0.027
Au: 0.147 0.892 0.526

# NaIn3Ga2

NaIn3Ga2 after structural relaxation (PBE, Alexandria via LeMat-Bulk).

ΔH_f (0 K) = 24 meV/atom
energy = -30.9 eV per cell

Unit cell a=5.786 b=7.931 c=7.931 alpha=59.25 beta=90.00 gamma=90.00
Positions (direct):
Na: 0.750 0.347 0.653
Na: 0.250 0.653 0.347
In: 0.250 0.248 0.752
In: 0.250 0.569 0.862
In: 0.750 0.862 0.569
In: 0.250 0.138 0.431
In: 0.750 0.431 0.138
In: 0.750 0.752 0.248
Ga: 0.000 0.885 0.885
Ga: 0.500 0.885 0.885
Ga: 0.000 0.115 0.115
Ga: 0.500 0.115 0.115